[1]
Below is a geometry-optimized ReSiOs2 structure, with properties calculated at the PBE level.

DFT total energy = -9.93 eV per atom
D(E_F) = 9.1 states/eV/cell
ΔE_f (raw) = 157 meV/atom

Lattice parameters (Å, degrees): 3.886 3.886 7.467 90.00 90.00 90.00
Fractional positions:
Re  0.000  0.000  0.000
Re  0.500  0.500  0.500
Si  0.000  0.000  0.500
Si  0.500  0.500  0.000
Os  0.000  0.500  0.250
Os  0.000  0.500  0.750
Os  0.500  0.000  0.250
Os  0.500  0.000  0.750

***

[2]
Below is a geometry-optimized AcDy6Ho8 structure, with properties calculated at the PBE level.

Calculated formation energy = 0.23 eV per atom
DFT total energy = -4.33 eV per atom
D(E_F) = 21.5 states/eV/cell

Lattice parameters (Å, degrees): 8.207 8.207 8.207 71.95 71.95 71.95
Fractional positions:
Ac  0.000  0.000  0.000
Dy  0.173  0.433  0.617
Dy  0.383  0.827  0.567
Dy  0.433  0.617  0.173
Dy  0.567  0.383  0.827
Dy  0.617  0.173  0.433
Dy  0.827  0.567  0.383
Ho  0.055  0.859  0.388
Ho  0.141  0.612  0.945
Ho  0.237  0.237  0.237
Ho  0.388  0.055  0.859
Ho  0.612  0.945  0.141
Ho  0.763  0.763  0.763
Ho  0.859  0.388  0.055
Ho  0.945  0.141  0.612

***

[3]
Below is a geometry-optimized La2Pr3Pb4 structure, with properties calculated at the PBE level.

Calculated formation energy = -0.47 eV per atom
DFT total energy = -4.81 eV per atom
D(E_F) = 12.6 states/eV/cell

Lattice parameters (Å, degrees): 9.690 9.690 9.365 90.00 90.00 135.03
Fractional positions:
La  0.110  0.890  0.911
La  0.390  0.610  0.411
La  0.610  0.390  0.589
La  0.890  0.110  0.089
Pr  0.000  0.000  0.500
Pr  0.044  0.456  0.750
Pr  0.456  0.044  0.250
Pr  0.500  0.500  0.000
Pr  0.544  0.956  0.750
Pr  0.956  0.544  0.250
Pb  0.184  0.816  0.558
Pb  0.221  0.279  0.750
Pb  0.279  0.221  0.250
Pb  0.316  0.684  0.058
Pb  0.684  0.316  0.942
Pb  0.721  0.779  0.750
Pb  0.779  0.721  0.250
Pb  0.816  0.184  0.442